The following is a DFT calculation (PBE) of K2TiTl2O6 after structural relaxation.

The structure belongs to space group C2/m (No. 12); the cell edges are 5.807, 9.830 and 6.634 Å and the angles 90.00°, 107.62° and 90.00°. The asymmetric unit holds K at (0.000, 0.171, 0.000), Ti at (0.000, 0.000, 0.500), Tl at (0.000, 0.335, 0.500), O at (0.205, 0.149, 0.680) and O at (0.231, 0.000, 0.324).

As for the energy: -5.580 eV per atom. The calculation puts the uncorrected formation energy at -1528 meV per atom. The calculation puts the theoretical density at 5.8 g/cm3. Its magnetic moment is 0.0 μB/cell.